VASP calculation (PBE) on Dy2AlGe3Rh4 after structural relaxation.

**VASP energy**: -65.14 eV for the cell shown
**Volume**: 178 Å³/f.u.

```
data_Dy2AlGe3Rh4
_space_group_name_H-M_alt 'P -4 m 2'
_space_group_IT_number 115
_cell_length_a 4.151
_cell_length_b 4.151
_cell_length_c 10.331
_cell_angle_alpha 90.00
_cell_angle_beta 90.00
_cell_angle_gamma 90.00
loop_
_space_group_symop_operation_xyz
'x,y,z'
'y,-x,-z'
'-x,-y,z'
'-y,x,-z'
'-x,y,z'
'-y,-x,-z'
'x,-y,z'
'y,x,-z'
loop_
_atom_site_label
_atom_site_type_symbol
_atom_site_fract_x
_atom_site_fract_y
_atom_site_fract_z
_atom_site_occupancy
Dy1 Dy 0.000 0.500 0.249 1
Al1 Al 0.000 0.000 0.500 1
Ge1 Ge 0.000 0.500 0.868 1
Ge2 Ge 0.500 0.500 0.500 1
Rh1 Rh 0.000 0.000 0.000 1
Rh2 Rh 0.000 0.500 0.634 1
Rh3 Rh 0.500 0.500 0.000 1
```